Arrangement 1

Computed, not measured: an optimized crystal structure of Rb2NaTcF6 at the PBE level of DFT.

```
10
Lattice="-2.929 2.929 4.111 2.929 -2.929 4.111 2.929 2.929 -4.111" Properties=species:S:1:pos:R:3 pbc="T T T"
Rb 2.929 0.000 2.055
Rb 0.000 2.929 2.055
Na 0.000 0.000 0.000
Tc 0.000 0.000 4.111
F 1.501 1.501 0.000
F 1.428 -1.428 4.111
F 0.000 0.000 2.122
F 0.000 0.000 6.100
F -1.428 1.428 4.111
F 1.428 1.428 4.111
```

Results
SG: I4/mmm, No. 139
Volume (A^3/atom): 14.1

---

Arrangement 2

Computed, not measured: an optimized crystal structure of Rb2NaTcF6 at the PBE level of DFT.

```
10
Lattice="-2.917 2.917 4.227 2.917 -2.917 4.227 2.917 2.917 -4.227" Properties=species:S:1:pos:R:3 pbc="T T T"
Rb 2.917 0.000 2.113
Rb 0.000 2.917 2.113
Na 0.000 0.000 0.000
Tc 0.000 0.000 4.227
F 4.236 1.408 0.000
F 0.000 0.000 2.179
F 1.408 1.598 0.000
F 1.509 1.319 4.227
F 0.000 0.000 6.274
F -1.319 1.509 4.227
```

Results
SG: I4/m, No. 87
Volume (A^3/atom): 14.4

---

Result of the stability comparison: arrangement 2 is the most stable of them.

---

Arrangement 1

Computed, not measured: an optimized crystal structure of Na3TaF8 at the PBE level of DFT.

```
24
Lattice="5.571 -2.577 0.000 5.571 2.577 0.000 -5.295 0.000 9.278" Properties=species:S:1:pos:R:3 pbc="T T T"
Na 0.138 1.289 4.639
Na -0.726 1.333 8.353
Na 3.926 1.333 5.564
Na 2.786 -1.289 0.000
Na 1.921 -1.333 3.714
Na 6.573 -1.333 0.925
Ta 4.247 0.916 2.319
Ta 1.600 -0.916 6.958
F -2.954 0.545 8.277
F 2.918 1.911 3.405
F 5.576 1.911 1.234
F -0.307 -0.545 3.639
F -0.135 0.120 6.615
F 2.512 -0.120 1.976
F 1.878 0.286 5.385
F 4.526 -0.286 0.746
F 1.322 0.286 8.531
F 3.969 -0.286 3.892
F 3.335 0.120 7.301
F 5.983 -0.120 2.663
F 6.154 0.545 5.639
F 0.271 -1.911 8.043
F 2.929 -1.911 5.873
F 8.802 -0.545 1.000
```

Results
SG: C2/c, No. 15
Volume (A^3/atom): 11.1

---

Arrangement 2

Computed, not measured: an optimized crystal structure of Na3TaF8 at the PBE level of DFT.

```
24
Lattice="5.586 -2.598 0.000 5.586 2.598 0.000 -5.346 0.000 9.314" Properties=species:S:1:pos:R:3 pbc="T T T"
Na 0.120 1.299 4.657
Na -0.756 1.342 8.384
Na 3.911 1.342 5.587
Na 2.793 -1.299 0.000
Na 1.916 -1.342 3.727
Na 6.584 -1.342 0.930
Ta 4.250 0.927 2.328
Ta 1.577 -0.927 6.985
F -2.996 0.551 8.306
F 2.915 1.926 3.416
F 5.585 1.926 1.241
F -0.323 -0.551 3.650
F -0.158 0.114 6.642
F 2.515 -0.114 1.985
F 1.861 0.277 5.408
F 4.534 -0.277 0.751
F 1.293 0.277 8.563
F 3.966 -0.277 3.906
F 3.312 0.114 7.328
F 5.985 -0.114 2.672
F 6.150 0.551 5.664
F 0.242 -1.926 8.072
F 2.912 -1.926 5.898
F 8.823 -0.551 1.007
```

Results
SG: C2/c, No. 15
Volume (A^3/atom): 11.3

---

Result of the stability comparison: arrangement 2 is the most stable of them.

---

Arrangement 1

Computed, not measured: an optimized crystal structure of Na3TcF6 at the PBE level of DFT.

```
10
Lattice="-2.773 2.773 4.098 2.773 -2.773 4.098 2.773 2.773 -4.098" Properties=species:S:1:pos:R:3 pbc="T T T"
Na 0.000 0.000 0.000
Na 2.773 0.000 2.049
Na 0.000 2.773 2.049
Tc 0.000 0.000 4.098
F 3.620 0.958 0.000
F 0.000 0.000 2.073
F 0.958 1.925 0.000
F 1.815 0.847 4.098
F 0.000 0.000 6.124
F -0.847 1.815 4.098
```

Results
SG: I4/m, No. 87
Volume (A^3/atom): 12.6

---

Arrangement 2

Computed, not measured: an optimized crystal structure of Na3TcF6 at the PBE level of DFT.

```
10
Lattice="4.972 -2.881 0.000 4.972 2.881 0.000 -3.299 0.000 4.732" Properties=species:S:1:pos:R:3 pbc="T T T"
Na 0.000 0.000 0.000
Na 0.012 0.000 3.543
Na 6.634 0.000 1.188
Tc 3.323 0.000 2.366
F 1.697 0.000 1.200
F 2.511 1.410 3.527
F 4.135 1.410 1.205
F 2.511 -1.410 3.527
F 4.135 -1.410 1.205
F 4.949 0.000 3.532
```

Results
SG: C2/m, No. 12
Volume (A^3/atom): 13.6

---

Result of the stability comparison: arrangement 1 is the most stable of them.

---

Arrangement 1

Computed, not measured: an optimized crystal structure of Na2TcF6 at the PBE level of DFT.

```
9
Lattice="5.425 0.000 0.000 -2.712 4.698 0.000 0.000 0.000 4.084" Properties=species:S:1:pos:R:3 pbc="T T T"
Na 0.000 3.132 1.185
Na 2.712 1.566 2.899
Tc 0.000 0.000 0.000
F 0.000 1.660 3.072
F -1.275 3.868 3.072
F 1.438 0.830 1.012
F 1.275 3.868 3.072
F 3.987 0.830 1.012
F 2.712 3.038 1.012
```

Results
SG: P-3m1, No. 164
Volume (A^3/atom): 11.6

---

Arrangement 2

Computed, not measured: an optimized crystal structure of Na2TcF6 at the PBE level of DFT.

```
18
Lattice="4.883 0.000 0.000 0.000 4.883 0.000 0.000 0.000 9.798" Properties=species:S:1:pos:R:3 pbc="T T T"
Na 0.000 0.000 1.620
Na 0.000 0.000 8.178
Na 2.442 2.442 3.279
Na 2.442 2.442 6.518
Tc 0.000 0.000 4.899
Tc 2.442 2.442 0.000
F 0.923 0.923 3.443
F 0.923 0.923 6.354
F 1.065 1.065 0.000
F 1.377 3.506 4.899
F 1.519 3.364 1.455
F 1.519 3.364 8.342
F 3.364 1.519 1.455
F 3.364 1.519 8.342
F 3.506 1.377 4.899
F 3.819 3.819 0.000
F 3.961 3.961 3.443
F 3.961 3.961 6.354
```

Results
SG: P4_2/mnm, No. 136
Volume (A^3/atom): 13.0

---

Result of the stability comparison: arrangement 2 is the most stable of them.

---

Arrangement 1

Computed, not measured: an optimized crystal structure of NaTl2TcF6 at the PBE level of DFT.

```
20
Lattice="5.831 0.000 0.000 0.013 6.003 0.000 0.291 0.017 8.343" Properties=species:S:1:pos:R:3 pbc="T T T"
Na 0.000 0.000 0.000
Na 3.067 3.010 4.171
Tl 0.109 3.008 2.057
Tl 2.963 6.005 2.118
Tl 3.172 0.014 6.224
Tl 6.026 3.012 6.285
Tc 0.146 0.008 4.171
Tc 2.922 3.001 0.000
F 0.295 6.007 6.178
F 1.509 4.510 4.215
F 1.530 1.486 4.224
F 1.820 1.548 8.295
F 1.871 4.526 8.305
F 3.086 3.023 6.334
F 3.049 2.997 2.009
F 4.264 1.494 0.038
F 4.315 4.471 0.048
F 4.605 4.534 4.119
F 4.626 1.509 4.128
F 5.840 0.012 2.165
```

Results
SG: P-1, No. 2
Volume (A^3/atom): 14.6

---

Arrangement 2

Computed, not measured: an optimized crystal structure of NaTl2TcF6 at the PBE level of DFT.

```
10
Lattice="-2.932 2.940 4.144 2.932 -2.940 4.144 2.932 2.940 -4.144" Properties=species:S:1:pos:R:3 pbc="T T T"
Na 0.000 0.000 0.000
Tl 2.932 0.000 2.073
Tl 0.000 2.940 2.071
Tc 0.000 0.000 4.144
F 0.000 0.000 2.133
F 1.506 1.511 0.000
F 1.426 -1.429 4.144
F 1.506 4.369 0.000
F 0.000 0.000 6.156
F 1.426 1.429 4.144
```

Results
SG: Immm, No. 71
Volume (A^3/atom): 14.3

---

Result of the stability comparison: arrangement 1 is the most stable of them.

---

Arrangement 1

Computed, not measured: an optimized crystal structure of Na3ZrF6 at the PBE level of DFT.

```
20
Lattice="5.454 0.000 0.000 0.000 5.633 0.000 -0.219 0.000 7.832" Properties=species:S:1:pos:R:3 pbc="T T T"
Na 1.236 0.000 0.070
Na 1.308 2.343 1.958
Na 1.373 4.687 3.848
Na 3.861 1.871 3.984
Na 3.927 5.159 5.874
Na 3.999 2.816 7.762
Zr 1.205 2.343 5.874
Zr 4.029 5.159 1.958
F 0.179 4.009 6.671
F 0.405 4.228 1.580
F 0.446 2.579 3.927
F 1.957 2.106 7.824
F 2.196 0.449 2.328
F 2.225 0.676 5.070
F 3.009 3.493 2.762
F 3.039 3.266 5.504
F 3.278 4.923 0.008
F 4.788 5.396 3.905
F 4.830 1.412 6.252
F 5.055 1.193 1.161
```

Results
SG: P2_1, No. 4
Volume (A^3/atom): 12.0

---

Arrangement 2

Computed, not measured: an optimized crystal structure of Na3ZrF6 at the PBE level of DFT.

```
20
Lattice="5.523 0.000 0.000 0.000 5.593 0.000 -5.223 0.000 7.850" Properties=species:S:1:pos:R:3 pbc="T T T"
Na 0.000 0.000 0.000
Na -2.611 2.797 3.925
Na -2.660 0.461 5.797
Na -0.048 2.336 1.872
Na 0.349 3.258 5.978
Na 2.960 5.132 2.053
Zr 0.150 0.000 3.925
Zr 2.762 2.797 0.000
F -1.687 0.921 3.557
F -4.298 1.876 7.482
F -0.895 3.939 3.125
F -3.506 4.451 7.050
F 0.896 0.221 1.973
F -1.716 2.575 5.898
F 2.016 3.018 1.952
F -0.595 5.372 5.877
F 3.806 1.143 0.800
F 1.195 1.654 4.725
F 4.599 3.718 0.368
F 1.988 4.673 4.293
```

Results
SG: P2_1/c, No. 14
Volume (A^3/atom): 12.1

---

Result of the stability comparison: arrangement 2 is the most stable of them.